# 1
The following is a PBE-GGA calculation of Ta5Fe after structural relaxation, from Alexandria.

```
data_Ta5Fe
_chemical_formula_sum 'Ta5 Fe1'
_cell_length_a 3.216
_cell_length_b 3.216
_cell_length_c 9.871
_cell_angle_alpha 90.00
_cell_angle_beta 90.00
_cell_angle_gamma 90.00
_space_group_name_H-M_alt 'P 4/m m m'
_space_group_IT_number 123
_space_group_name_Hall '-P 4 2'
loop_
_atom_site_label
_atom_site_fract_x
_atom_site_fract_y
_atom_site_fract_z
_atom_site_occupancy
Ta1 0.000 0.000 0.000 1
Ta2 0.000 0.000 0.349 1
Ta3 0.500 0.500 0.173 1
Fe1 0.500 0.500 0.500 1
```



# 2
The following is a PBE-GGA calculation of Ta4Fe3 after structural relaxation, from Alexandria.

```
data_Ta4Fe3
_chemical_formula_sum 'Ta8 Fe6'
_cell_length_a 3.114
_cell_length_b 3.114
_cell_length_c 21.966
_cell_angle_alpha 90.00
_cell_angle_beta 90.00
_cell_angle_gamma 90.00
_space_group_name_H-M_alt 'I 4/m m m'
_space_group_IT_number 139
_space_group_name_Hall '-I 4 2'
loop_
_atom_site_label
_atom_site_fract_x
_atom_site_fract_y
_atom_site_fract_z
_atom_site_occupancy
Ta1 0.000 0.000 0.069 1
Ta2 0.000 0.000 0.346 1
Fe1 0.000 0.000 0.218 1
Fe2 0.000 0.000 0.500 1
```



no.,relative energy among the computed polymorphs (meV/atom),DFT total energy (eV for the cell shown)
1,0,-67.98
2,62,-146.99